{
  "formula": "RbNaAsPt",
  "functional": "GGA-PBE",
  "state": "relaxed",
  "mass_density_g_cm3": 5.46,
  "delta_e_f_ev_per_atom": -0.357,
  "space_group": "Cm, No. 8",
  "dos_at_fermi_per_ev_atom": 0.72,
  "e_tot_ev_per_atom": -3.601,
  "lattice": [[-3.3963, 0.0023, -2.8245], [3.1855, -3.0347, -0.3787], [-4.4599, -2.1156, 5.3611]],
  "species": ["Rb", "Na", "As", "Pt"],
  "fractional_positions": [[0.6342, 0.2684, 0.5466], [0.8254, 0.6509, 0.1167], [0.0855, 0.1710, 0.8986], [0.4211, 0.8423, 0.9055]]
}